(1)
# YCuO3 | Alexandria | PBE-GGA | relaxed
# Formation energy without anion corrections: -2.05 eV per atom
# Mass density: 5.329 g cm⁻³
# Total energy: -0.2622 Ha/atom
# Crystal system: orthorhombic
data_YCuO3
_chemical_formula_sum 'Y4 Cu4 O12'
_cell_length_a 3.795
_cell_length_b 12.350
_cell_length_c 5.331
_cell_angle_alpha 90.00
_cell_angle_beta 90.00
_cell_angle_gamma 90.00
_symmetry_space_group_name_H-M 'P b c m'
_symmetry_Int_Tables_number 57
loop_
_symmetry_equiv_pos_as_xyz
'x,y,z'
'-x,-y,-z'
'-x,-y,z+1/2'
'x,y,-z+1/2'
'x,-y+1/2,-z'
'-x,y+1/2,z'
'-x,y+1/2,-z+1/2'
'x,-y+1/2,z+1/2'
loop_
_atom_site_label
_atom_site_fract_x
_atom_site_fract_y
_atom_site_fract_z
Y1 0.246 0.082 0.250
Cu1 0.412 0.674 0.750
O1 0.243 0.581 0.510
O2 0.346 0.250 0.000

(2)
# Y3CuO6 | Alexandria | PBE-GGA | relaxed
# Formation energy without anion corrections: -2.70 eV per atom
# Mass density: 5.204 g cm⁻³
# Total energy: -0.2950 Ha/atom
# Crystal system: orthorhombic
data_Y3CuO6
_chemical_formula_sum 'Y12 Cu4 O24'
_cell_length_a 8.885
_cell_length_b 11.106
_cell_length_c 5.514
_cell_angle_alpha 90.00
_cell_angle_beta 90.00
_cell_angle_gamma 90.00
_symmetry_space_group_name_H-M 'C m c 21'
_symmetry_Int_Tables_number 36
loop_
_symmetry_equiv_pos_as_xyz
'x,y,z'
'-x,-y,z+1/2'
'-x,y,z'
'x,-y,z+1/2'
'x+1/2,y+1/2,z'
'-x+1/2,-y+1/2,z+1/2'
'-x+1/2,y+1/2,z'
'x+1/2,-y+1/2,z+1/2'
loop_
_atom_site_label
_atom_site_fract_x
_atom_site_fract_y
_atom_site_fract_z
Y1 0.000 0.103 0.000
Y2 0.194 0.394 0.047
Cu1 0.000 0.314 0.571
O1 0.000 0.284 0.235
O2 0.000 0.461 0.765
O3 0.157 0.239 0.762
O4 0.160 0.015 0.275

(3)
# YCu3O | Alexandria | PBE-GGA | relaxed
# Formation energy without anion corrections: 1.75 eV per atom
# Mass density: 3.582 g cm⁻³
# Distance to the lowest polymorph of the same formula: 1.764 eV per atom
# Total energy: -0.1099 Ha/atom
# Crystal system: cubic
data_YCu3O
_chemical_formula_sum 'Y1 Cu3 O1'
_cell_length_a 5.155
_cell_length_b 5.155
_cell_length_c 5.155
_cell_angle_alpha 90.00
_cell_angle_beta 90.00
_cell_angle_gamma 90.00
_symmetry_space_group_name_H-M 'P m -3 m'
_symmetry_Int_Tables_number 221
_symmetry_space_group_name_Hall '-P 4 2 3'
loop_
_atom_site_label
_atom_site_fract_x
_atom_site_fract_y
_atom_site_fract_z
Y1 0.000 0.000 0.000
Cu1 0.000 0.000 0.500
O1 0.500 0.500 0.500

(4)
# Y2Cu3O6 | Alexandria | PBE-GGA | relaxed
# Formation energy without anion corrections: -1.66 eV per atom
# Mass density: 4.964 g cm⁻³
# Total energy: -0.2448 Ha/atom
# Crystal system: monoclinic
data_Y2Cu3O6
_chemical_formula_sum 'Y4 Cu6 O12'
_cell_length_a 12.602
_cell_length_b 3.777
_cell_length_c 7.984
_cell_angle_alpha 90.00
_cell_angle_beta 125.14
_cell_angle_gamma 90.00
_symmetry_space_group_name_H-M 'C 1 2/m 1'
_symmetry_Int_Tables_number 12
loop_
_symmetry_equiv_pos_as_xyz
'x,y,z'
'-x,-y,-z'
'-x,y,-z'
'x,-y,z'
'x+1/2,y+1/2,z'
'-x+1/2,-y+1/2,-z'
'-x+1/2,y+1/2,-z'
'x+1/2,-y+1/2,z'
loop_
_atom_site_label
_atom_site_fract_x
_atom_site_fract_y
_atom_site_fract_z
Y1 0.141 0.000 0.273
Cu1 0.000 0.500 0.500
Cu2 0.170 0.000 0.843
O1 0.076 0.000 0.939
O2 0.118 0.500 0.438
O3 0.233 0.500 0.249

(5)
# Y2CuO2 | Alexandria | PBE-GGA | relaxed
# Formation energy without anion corrections: -1.85 eV per atom
# Mass density: 6.440 g cm⁻³
# Distance to the lowest polymorph of the same formula: 0.000 eV per atom
# Total energy: -0.2662 Ha/atom
# Crystal system: tetragonal
data_Y2CuO2
_chemical_formula_sum 'Y4 Cu2 O4'
_cell_length_a 6.805
_cell_length_b 6.805
_cell_length_c 3.044
_cell_angle_alpha 90.00
_cell_angle_beta 90.00
_cell_angle_gamma 90.00
_symmetry_space_group_name_H-M 'P 4/m b m'
_symmetry_Int_Tables_number 127
_symmetry_space_group_name_Hall '-P 4 2ab'
loop_
_atom_site_label
_atom_site_fract_x
_atom_site_fract_y
_atom_site_fract_z
Y1 0.166 0.334 0.000
Cu1 0.000 0.000 0.500
O1 0.135 0.635 0.500

(6)
# Y2Cu2O5 | Alexandria | PBE-GGA | relaxed
# Formation energy without anion corrections: -2.16 eV per atom
# Mass density: 5.668 g cm⁻³
# Distance to the lowest polymorph of the same formula: 0.040 eV per atom
# Total energy: -0.2667 Ha/atom
# Crystal system: monoclinic
data_Y2Cu2O5
_chemical_formula_sum 'Y4 Cu4 O10'
_cell_length_a 12.530
_cell_length_b 3.955
_cell_length_c 4.899
_cell_angle_alpha 90.00
_cell_angle_beta 111.76
_cell_angle_gamma 90.00
_symmetry_space_group_name_H-M 'C 1 2/m 1'
_symmetry_Int_Tables_number 12
loop_
_symmetry_equiv_pos_as_xyz
'x,y,z'
'-x,-y,-z'
'-x,y,-z'
'x,-y,z'
'x+1/2,y+1/2,z'
'-x+1/2,-y+1/2,-z'
'-x+1/2,y+1/2,-z'
'x+1/2,-y+1/2,z'
loop_
_atom_site_label
_atom_site_fract_x
_atom_site_fract_y
_atom_site_fract_z
Y1 0.119 0.000 0.404
Cu1 0.102 0.500 0.900
O1 0.000 0.500 0.500
O2 0.090 0.000 0.874
O3 0.190 0.500 0.307

(7)
# Y3Cu5O12 | Alexandria | PBE-GGA | relaxed
# Formation energy without anion corrections: -1.53 eV per atom
# Mass density: 5.475 g cm⁻³
# Total energy: -0.2390 Ha/atom
# Crystal system: cubic
data_Y3Cu5O12
_chemical_formula_sum 'Y24 Cu40 O96'
_cell_length_a 12.351
_cell_length_b 12.351
_cell_length_c 12.351
_cell_angle_alpha 90.00
_cell_angle_beta 90.00
_cell_angle_gamma 90.00
_symmetry_space_group_name_H-M 'I a -3 d'
_symmetry_Int_Tables_number 230
_symmetry_space_group_name_Hall '-I 4bd 2c 3'
loop_
_atom_site_label
_atom_site_fract_x
_atom_site_fract_y
_atom_site_fract_z
Y1 0.000 0.250 0.125
Cu1 0.000 0.000 0.000
Cu2 0.000 0.250 0.375
O1 0.024 0.054 0.648

(8)
# YCuO2 | Alexandria | PBE-GGA | relaxed
# Formation energy without anion corrections: -0.88 eV per atom
# Mass density: 5.384 g cm⁻³
# Total energy: -0.2205 Ha/atom
# Crystal system: trigonal
data_YCuO2
_chemical_formula_sum 'Y3 Cu3 O6'
_cell_length_a 3.2624
_cell_length_b 3.2624
_cell_length_c 18.5153
_cell_angle_alpha 90.00
_cell_angle_beta 90.00
_cell_angle_gamma 120.00
_symmetry_space_group_name_H-M 'R -3 m'
_symmetry_Int_Tables_number 166
_symmetry_space_group_name_Hall '-R 3 2"'
loop_
_atom_site_label
_atom_site_fract_x
_atom_site_fract_y
_atom_site_fract_z
Y1 0.0000 0.0000 0.0000
Cu1 0.0000 0.0000 0.5000
O1 0.0000 0.0000 0.1154

(9)
# Y2CuO4 | Alexandria | PBE-GGA | relaxed
# Formation energy without anion corrections: -2.67 eV per atom
# Mass density: 5.613 g cm⁻³
# Distance to the lowest polymorph of the same formula: 0.000 eV per atom
# Total energy: -0.2916 Ha/atom
# Crystal system: orthorhombic
data_Y2CuO4
_chemical_formula_sum 'Y8 Cu4 O16'
_cell_length_a 11.906
_cell_length_b 5.510
_cell_length_c 5.508
_cell_angle_alpha 90.00
_cell_angle_beta 90.00
_cell_angle_gamma 90.00
_symmetry_space_group_name_H-M 'C m c e'
_symmetry_Int_Tables_number 64
_symmetry_space_group_name_Hall '-C 2ac 2'
loop_
_atom_site_label
_atom_site_fract_x
_atom_site_fract_y
_atom_site_fract_z
Y1 0.154 0.000 0.000
Cu1 0.000 0.000 0.500
O1 0.000 0.204 0.204
O2 0.250 0.241 0.750

(10)
# YCu7O12 | Alexandria | PBE-GGA | relaxed
# Formation energy without anion corrections: -0.83 eV per atom
# Mass density: 6.144 g cm⁻³
# Total energy: -0.2044 Ha/atom
# Crystal system: cubic
data_YCu7O12
_chemical_formula_sum 'Y2 Cu14 O24'
_cell_length_a 7.321
_cell_length_b 7.321
_cell_length_c 7.321
_cell_angle_alpha 90.00
_cell_angle_beta 90.00
_cell_angle_gamma 90.00
_symmetry_space_group_name_H-M 'I m -3'
_symmetry_Int_Tables_number 204
_symmetry_space_group_name_Hall '-I 2 2 3'
loop_
_atom_site_label
_atom_site_fract_x
_atom_site_fract_y
_atom_site_fract_z
Y1 0.000 0.000 0.000
Cu1 0.000 0.000 0.500
Cu2 0.250 0.250 0.250
O1 0.000 0.306 0.169

(11)
# Y2Cu2O5 | Alexandria | PBE-GGA | relaxed
# Formation energy without anion corrections: -2.18 eV per atom
# Mass density: 5.249 g cm⁻³
# Distance to the lowest polymorph of the same formula: 0.013 eV per atom
# Total energy: -0.2677 Ha/atom
# Crystal system: orthorhombic
data_Y2Cu2O5
_chemical_formula_sum 'Y8 Cu8 O20'
_cell_length_a 10.928
_cell_length_b 3.543
_cell_length_c 12.580
_cell_angle_alpha 90.00
_cell_angle_beta 90.00
_cell_angle_gamma 90.00
_symmetry_space_group_name_H-M 'P n a 21'
_symmetry_Int_Tables_number 33
loop_
_symmetry_equiv_pos_as_xyz
'x,y,z'
'-x,-y,z+1/2'
'-x+1/2,y+1/2,z+1/2'
'x+1/2,-y+1/2,z'
loop_
_atom_site_label
_atom_site_fract_x
_atom_site_fract_y
_atom_site_fract_z
Y1 0.043 0.223 0.000
Y2 0.208 0.221 0.327
Cu1 0.012 0.339 0.717
Cu2 0.238 0.158 0.611
O1 0.072 0.274 0.566
O2 0.076 0.728 0.355
O3 0.125 0.354 0.164
O4 0.174 0.727 0.972
O5 0.178 0.220 0.762

(12)
# YCu3O6 | Alexandria | PBE-GGA | relaxed
# Formation energy without anion corrections: -0.98 eV per atom
# Mass density: 4.579 g cm⁻³
# Distance to the lowest polymorph of the same formula: 0.023 eV per atom
# Total energy: -0.2144 Ha/atom
# Crystal system: monoclinic
data_YCu3O6
_chemical_formula_sum 'Y4 Cu12 O24'
_cell_length_a 15.358
_cell_length_b 3.614
_cell_length_c 9.825
_cell_angle_alpha 90.00
_cell_angle_beta 92.42
_cell_angle_gamma 90.00
_symmetry_space_group_name_H-M 'C 1 m 1'
_symmetry_Int_Tables_number 8
loop_
_symmetry_equiv_pos_as_xyz
'x,y,z'
'x,-y,z'
'x+1/2,y+1/2,z'
'x+1/2,-y+1/2,z'
loop_
_atom_site_label
_atom_site_fract_x
_atom_site_fract_y
_atom_site_fract_z
Y1 0.000 0.000 0.000
Y2 0.239 0.500 0.485
Cu1 0.077 0.000 0.612
Cu2 0.169 0.500 0.111
Cu3 0.311 0.000 0.167
Cu4 0.321 0.500 0.862
Cu5 0.446 0.500 0.329
Cu6 0.458 0.000 0.716
O1 0.036 0.000 0.220
O2 0.050 0.500 0.597
O3 0.076 0.500 0.984
O4 0.163 0.000 0.488
O5 0.199 0.000 0.079
O6 0.258 0.500 0.247
O7 0.259 0.500 0.708
O8 0.356 0.500 0.043
O9 0.375 0.000 0.850
O10 0.382 0.500 0.474
O11 0.418 0.000 0.265
O12 0.489 0.500 0.745